(1)
DFT (PBE-GGA) results for a relaxed structure of Ac5CuOs.

calculated formation energy	-0.027	eV/atom
symmetry	P2_1/m, No. 11
total magnetization	0.00	μB per formula unit

a = 4.2801 Å, b = 7.6503 Å, c = 16.3017 Å
α = 88.53°, β = 90.00°, γ = 90.00°
Closest atoms and distances in Å follow each position.
Atoms (fractional coordinates):
Ac: 0.7500 0.2814 0.4982  3 Os 3.00-3.07
Cu: 0.7500 0.1313 0.1616  6 Ac 3.10-3.16
Ac: 0.2500 0.4488 0.7209  2 Os 2.92
Os: 0.7500 0.5874 0.6164  6 Ac 2.86-3.07
Ac: 0.2500 0.0866 0.3013  1 Os 2.86, 2 Cu 3.14
Ac: 0.2500 0.8759 0.0875  2 Cu 3.16
Ac: 0.2500 0.7186 0.5018  3 Os 3.00-3.07
Ac: 0.7500 0.5512 0.2791  2 Os 2.92
Ac: 0.7500 0.1241 0.9125  2 Cu 3.16
Cu: 0.2500 0.8687 0.8384  6 Ac 3.10-3.16
Ac: 0.7500 0.9134 0.6987  1 Os 2.86, 2 Cu 3.14
Os: 0.2500 0.4126 0.3836  6 Ac 2.86-3.07
Ac: 0.7500 0.6294 0.9203  2 Cu 3.10
Ac: 0.2500 0.3706 0.0797  2 Cu 3.10

(2)
DFT (PBE-GGA) results for a relaxed structure of AlIn2Si.

uncorrected formation energy	0.34	eV per atom
symmetry	Immm, No. 71
total magnetization	0.00	μB per formula unit

a = 5.5980 Å, b = 5.5980 Å, c = 5.5980 Å
α = 138.67°, β = 130.80°, γ = 66.15°
Closest atoms and distances in Å follow each position.
Atoms (fractional coordinates):
Si: 0.7500 0.2500 0.5000  4 In 2.98, 4 Al 3.05
Al: 0.2500 0.7500 0.5000  4 Si 3.05, 8 In 3.15-3.23
In: 0.9881 0.9881 0.0000  2 Si 2.98, 4 In 3.06, 4 Al 3.15-3.23
In: 0.5119 0.5119 0.0000  2 Si 2.98, 4 In 3.06, 4 Al 3.15-3.23

(3)
DFT (PBE-GGA) results for a relaxed structure of RbCa3Ac2Se6.

uncorrected formation energy	-1.86	eV per atom
symmetry	C2/m, No. 12
total magnetization	0.00	μB per formula unit

a = 4.3696 Å, b = 8.9085 Å, c = 9.8012 Å
α = 103.00°, β = 102.88°, γ = 90.00°
Closest atoms and distances in Å follow each position.
Atoms (fractional coordinates):
Ac: 0.8360 0.6705 0.6720  6 Se 3.09-3.19
Se: 0.3228 0.9185 0.6456  3 Ca 2.97-3.08, 2 Ac 3.16, 1 Rb 3.30
Ca: 0.1629 0.8328 0.3259  6 Se 2.97-3.08
Rb: 0.5000 0.0000 0.0000  6 Se 3.30
Ca: 0.8371 0.1672 0.6741  6 Se 2.97-3.08
Se: 0.6658 0.5907 0.3315  3 Ca 3.08, 3 Ac 3.17-3.19
Se: 0.9984 0.2772 0.9968  3 Ca 2.95-3.01, 1 Ac 3.09
Se: 0.3342 0.4093 0.6685  3 Ca 3.08, 3 Ac 3.17-3.19
Ac: 0.1640 0.3295 0.3280  6 Se 3.09-3.19
Se: 0.0016 0.7228 0.0032  3 Ca 2.95-3.01, 1 Ac 3.09
Ca: 0.5000 0.5000 0.0000  6 Se 2.95-3.08
Se: 0.6772 0.0815 0.3544  3 Ca 2.97-3.08, 2 Ac 3.16, 1 Rb 3.30